1 | Entry from the Alexandria database: an optimized crystal structure of Hf3CuMo (GGA-PBE).

Properties
The total magnetic moment is 0.000 μB per cell.

The structure in CIF format:
```
data_Hf3CuMo
_space_group_name_H-M_alt 'P 1'
_space_group_IT_number 1
_space_group_name_Hall 'P 1'
_cell_length_a 4.9950
_cell_length_b 4.9950
_cell_length_c 4.9950
_cell_angle_alpha 90.00
_cell_angle_beta 90.00
_cell_angle_gamma 90.00
loop_
_atom_site_label
_atom_site_type_symbol
_atom_site_fract_x
_atom_site_fract_y
_atom_site_fract_z
Mo1 Mo 0.0000 0.0000 0.0000
Hf1 Hf 0.0000 0.5000 0.0000
Hf2 Hf 0.5000 0.0000 0.0000
Hf3 Hf 0.0000 0.0000 0.5000
Cu1 Cu 0.5000 0.5000 0.5000
```

2 | Entry from the Alexandria database: an optimized crystal structure of Hf3CuMo (GGA-PBE).

Properties
The total magnetic moment is 0.000 μB per cell.

The structure in CIF format:
```
data_Hf3CuMo
_space_group_name_H-M_alt 'P 1'
_space_group_IT_number 1
_space_group_name_Hall 'P 1'
_cell_length_a 4.7663
_cell_length_b 4.7663
_cell_length_c 4.7663
_cell_angle_alpha 90.00
_cell_angle_beta 90.00
_cell_angle_gamma 90.00
loop_
_atom_site_label
_atom_site_type_symbol
_atom_site_fract_x
_atom_site_fract_y
_atom_site_fract_z
Cu1 Cu 0.0000 0.0000 0.0000
Hf1 Hf 0.0000 0.0000 0.5000
Hf2 Hf 0.0000 0.5000 0.0000
Hf3 Hf 0.5000 0.0000 0.0000
Mo1 Mo 0.5000 0.5000 0.5000
```

Computed stability ranking, most favorable first: 2, 1